1.
Material: Cu3SeBr
Method: DFT, PBE
State: relaxed

```
data_Cu3SeBr
_cell_length_a 4.663
_cell_length_b 4.663
_cell_length_c 4.663
_cell_angle_alpha 90.00
_cell_angle_beta 90.00
_cell_angle_gamma 90.00
_space_group_name_H-M_alt 'P m -3 m'
_space_group_IT_number 221
_space_group_name_Hall '-P 4 2 3'
loop_
_atom_site_label
_atom_site_fract_x
_atom_site_fract_y
_atom_site_fract_z
_atom_site_occupancy
Cu1 0.000 0.000 0.500 1
Se1 0.000 0.000 0.000 1
Br1 0.500 0.500 0.500 1
```

Total magnetization ... 0.00 μB per formula unit
Formation energy without anion corrections ... 122.4 meV per atom
ΔE to the lowest computed polymorph ... 0 meV per atom

***

2.
Material: CuSe2Br2
Method: DFT, PBE
State: relaxed

```
data_CuSe2Br2
_cell_length_a 3.575
_cell_length_b 6.028
_cell_length_c 6.855
_cell_angle_alpha 71.86
_cell_angle_beta 75.00
_cell_angle_gamma 89.90
_space_group_name_H-M_alt 'P -1'
_space_group_IT_number 2
_space_group_name_Hall '-P 1'
loop_
_atom_site_label
_atom_site_fract_x
_atom_site_fract_y
_atom_site_fract_z
_atom_site_occupancy
Cu1 0.000 0.000 0.000 1
Se1 0.192 0.523 0.616 1
Br1 0.415 0.160 0.169 1
```

Total magnetization ... 0.00 μB per formula unit
Formation energy without anion corrections ... -88.8 meV per atom
ΔE to the lowest computed polymorph ... 0 meV per atom

***

3.
Material: CuSe2Br
Method: DFT, PBE
State: relaxed

```
data_CuSe2Br
_cell_length_a 3.596
_cell_length_b 3.614
_cell_length_c 17.428
_cell_angle_alpha 90.00
_cell_angle_beta 90.00
_cell_angle_gamma 90.00
_space_group_name_H-M_alt 'I m m m'
_space_group_IT_number 71
_space_group_name_Hall '-I 2 2'
loop_
_atom_site_label
_atom_site_fract_x
_atom_site_fract_y
_atom_site_fract_z
_atom_site_occupancy
Cu1 0.000 0.000 0.000 1
Se1 0.000 0.500 0.271 1
Br1 0.000 0.000 0.500 1
```

Total magnetization ... 0.00 μB per formula unit
Formation energy without anion corrections ... 69.1 meV per atom
ΔE to the lowest computed polymorph ... 279 meV per atom